# 1
NbAgC3: optimized geometry, PBE.

Lattice parameters (Å, degrees): 4.0087 4.0087 4.0087 90.00 90.00 90.00
Last column: nearest neighbours and their distance in Å.
Atoms (fractional coordinates):
Ag: 0.0000 0.0000 0.0000  6 C 2.00
C: 0.0000 0.0000 0.5000  2 Ag 2.00
C: 0.0000 0.5000 0.0000  2 Ag 2.00
C: 0.5000 0.0000 0.0000  2 Ag 2.00
Nb: 0.5000 0.5000 0.5000  12 C 2.83


# 2
CaCeZnCd: optimized geometry, PBE.

Lattice parameters (Å, degrees): 3.6304 3.6304 7.9200 90.00 90.00 90.00
Last column: nearest neighbours and their distance in Å.
Atoms (fractional coordinates):
Cd: 0.0000 0.0000 0.8553  4 Ca 3.31, 4 Ce 3.34, 4 Cd 3.63
Ca: 0.5000 0.5000 0.5918  4 Zn 3.18, 4 Cd 3.31
Ce: 0.5000 0.5000 0.1257  4 Zn 3.15, 4 Cd 3.34
Zn: 0.0000 0.0000 0.3552  4 Ce 3.15, 4 Ca 3.18


The following energy above the lowest structure with this stoichiometry values (in meV per atom) correspond, in order, to the records above: 898, 0.